1.
A relaxed MgNi crystal, computed with PBE.

Unit cell a=4.1176 b=4.1176 c=8.5969 alpha=90.00 beta=90.00 gamma=120.00
Space group P6_3/mmc (No. 194)
Unique sites:
1 Mg 0.3333 0.6667 0.0905 [4 per cell]
2 Ni 0.0000 0.0000 0.2500 [2 per cell]
3 Ni 0.3333 0.6667 0.7500 [2 per cell]

Output
Crystal system: hexagonal
ΔE_f: -0.0034 eV/atom
N(E_F): 0.787 states/eV per atom

---

2.
A relaxed K2CoReSn crystal, computed with PBE.

Unit cell a=6.051 b=6.051 c=4.375 alpha=90.00 beta=90.00 gamma=90.00
Space group P4/mmm (No. 123)
Unique sites:
1 K 0.000 0.500 0.000 [2 per cell]
2 Co 0.000 0.000 0.000 [1 per cell]
3 Re 0.000 0.000 0.500 [1 per cell]
4 Sn 0.500 0.500 0.500 [1 per cell]

Output
Crystal system: tetragonal
ΔE_f: 1.3143 eV/atom
N(E_F): 1.055 states/eV per atom

---

3.
A relaxed Ce2DyCoHg crystal, computed with PBE.

Unit cell a=4.924 b=4.924 c=5.482 alpha=90.00 beta=90.00 gamma=90.00
Space group Pmm2 (No. 25)
Unique sites:
1 Ce 0.000 0.000 0.000 [1 per cell]
2 Ce 0.500 0.500 0.003 [1 per cell]
3 Dy 0.500 0.000 0.501 [1 per cell]
4 Co 0.500 0.000 0.001 [1 per cell]
5 Hg 0.000 0.500 0.502 [1 per cell]

Output
Crystal system: orthorhombic
ΔE_f: -0.1941 eV/atom
N(E_F): 1.923 states/eV per atom

---

4.
A relaxed Ca2FeTc crystal, computed with PBE.

Unit cell a=4.861 b=4.861 c=6.899 alpha=90.00 beta=90.00 gamma=90.00
Space group I-4m2 (No. 119)
Unique sites:
1 Ca 0.000 0.000 0.000 [2 per cell]
2 Ca 0.000 0.500 0.250 [2 per cell]
3 Fe 0.000 0.000 0.500 [2 per cell]
4 Tc 0.000 0.500 0.750 [2 per cell]

Output
Crystal system: tetragonal
Energy relative to the lowest polymorph listed for this composition: 370 meV/atom
ΔE_f: 0.7168 eV/atom
N(E_F): 1.120 states/eV per atom

---

5.
A relaxed LiLaZn2 crystal, computed with PBE.

Unit cell a=4.655 b=4.655 c=18.031 alpha=90.00 beta=90.00 gamma=90.00
Space group I-42d (No. 122)
Unique sites:
1 Li 0.000 0.000 0.000 [4 per cell]
2 La 0.000 0.000 0.500 [4 per cell]
3 Zn 0.077 0.250 0.125 [8 per cell]

Output
Crystal system: tetragonal
ΔE_f: 0.0102 eV/atom
N(E_F): 1.019 states/eV per atom

---

6.
A relaxed RbLi2PuCl6 crystal, computed with PBE.

Unit cell a=6.744 b=6.746 c=8.759 alpha=67.38 beta=67.45 gamma=60.03
Space group P-1 (No. 2)
Unique sites:
1 Rb 0.000 0.000 0.000 [1 per cell]
2 Li 0.173 0.173 0.482 [2 per cell]
3 Pu 0.500 0.500 0.500 [1 per cell]
4 Cl 0.097 0.783 0.682 [2 per cell]
5 Cl 0.215 0.561 0.318 [2 per cell]
6 Cl 0.439 0.095 0.682 [2 per cell]

Output
Crystal system: triclinic
E_form (uncorrected): -18.87 eV/f.u.
N(E_F): 1.033 states/eV per atom

---

7.
A relaxed CaAlCd2 crystal, computed with PBE.

Unit cell a=3.441 b=4.901 c=5.843 alpha=90.00 beta=90.00 gamma=90.00
Space group Pmmm (No. 47)
Unique sites:
1 Ca 0.000 0.000 0.000 [1 per cell]
2 Al 0.500 0.000 0.500 [1 per cell]
3 Cd 0.500 0.500 0.250 [2 per cell]

Output
Crystal system: orthorhombic
ΔE_f: -0.1365 eV/atom
N(E_F): 0.451 states/eV per atom

---

8.
A relaxed Rb3Dy3TiO8 crystal, computed with PBE.

Unit cell a=6.7656 b=6.7656 c=19.8139 alpha=90.00 beta=90.00 gamma=120.00
Space group R-3m (No. 166, hexagonal axes)
Unique sites:
1 Rb 0.0000 0.5000 0.0000 [9 per cell]
2 Dy 0.0000 0.5000 0.5000 [9 per cell]
3 Ti 0.0000 0.0000 0.5000 [3 per cell]
4 O 0.0000 0.0000 0.2242 [6 per cell]
5 O 0.0341 0.5171 0.2205 [18 per cell]

Output
Crystal system: trigonal
E_form (uncorrected): -41.71 eV/f.u.
N(E_F): 0.000 states/eV per atom

---

9.
A relaxed K2RbScTa crystal, computed with PBE.

Unit cell a=6.689 b=6.689 c=6.806 alpha=90.00 beta=90.00 gamma=90.00
Space group P4/mmm (No. 123)
Unique sites:
1 K 0.000 0.500 0.000 [2 per cell]
2 Rb 0.000 0.000 0.500 [1 per cell]
3 Sc 0.500 0.500 0.500 [1 per cell]
4 Ta 0.000 0.000 0.000 [1 per cell]

Output
Crystal system: tetragonal
ΔE_f: 1.8594 eV/atom
N(E_F): 5.203 states/eV per atom

---

10.
A relaxed La7Ho5 crystal, computed with PBE.

Unit cell a=9.863 b=5.879 c=14.972 alpha=90.00 beta=103.74 gamma=90.00
Space group C2/m (No. 12)
Unique sites:
1 La 0.000 0.000 0.000 [2 per cell]
2 La 0.043 0.500 0.713 [4 per cell]
3 La 0.186 0.000 0.582 [4 per cell]
4 La 0.234 0.500 0.170 [4 per cell]
5 Ho 0.000 0.500 0.500 [2 per cell]
6 Ho 0.120 0.000 0.300 [4 per cell]
7 Ho 0.142 0.500 0.941 [4 per cell]

Output
Crystal system: monoclinic
Energy relative to the lowest polymorph listed for this composition: 126 meV/atom
ΔE_f: 0.1455 eV/atom
N(E_F): 1.569 states/eV per atom

---

11.
A relaxed Tb2ErGa2Rh5 crystal, computed with PBE.

Unit cell a=10.029 b=10.029 c=3.594 alpha=90.00 beta=90.00 gamma=90.00
Space group P4/mbm (No. 127)
Unique sites:
1 Tb 0.173 0.327 0.000 [4 per cell]
2 Er 0.000 0.000 0.000 [2 per cell]
3 Ga 0.123 0.623 0.000 [4 per cell]
4 Rh 0.000 0.500 0.500 [2 per cell]
5 Rh 0.071 0.788 0.500 [8 per cell]

Output
Crystal system: tetragonal
ΔE_f: -0.8447 eV/atom
N(E_F): 0.518 states/eV per atom

---

12.
A relaxed SrBe2Co crystal, computed with PBE.

Unit cell a=3.897 b=3.897 c=4.381 alpha=90.00 beta=90.00 gamma=90.00
Space group P4/mmm (No. 123)
Unique sites:
1 Sr 0.000 0.000 0.000 [1 per cell]
2 Be 0.000 0.500 0.500 [2 per cell]
3 Co 0.500 0.500 0.000 [1 per cell]

Output
Crystal system: tetragonal
Energy relative to the lowest polymorph listed for this composition: 937 meV/atom
ΔE_f: 0.9894 eV/atom
N(E_F): 0.812 states/eV per atom

---

13.
A relaxed Tb4Dy3PuSe8 crystal, computed with PBE.

Unit cell a=8.1853 b=8.1853 c=20.0576 alpha=90.00 beta=90.00 gamma=120.00
Space group R-3m (No. 166, hexagonal axes)
Unique sites:
1 Tb 0.0000 0.0000 0.0000 [3 per cell]
2 Tb 0.0000 0.5000 0.0000 [9 per cell]
3 Dy 0.0000 0.5000 0.5000 [9 per cell]
4 Pu 0.0000 0.0000 0.5000 [3 per cell]
5 Se 0.0000 0.0000 0.2493 [6 per cell]
6 Se 0.0022 0.5011 0.7501 [18 per cell]

Output
Crystal system: trigonal
E_form (uncorrected): -27.93 eV/f.u.
N(E_F): 0.840 states/eV per atom

---

14.
A relaxed Zr2AuSe crystal, computed with PBE.

Unit cell a=3.703 b=4.165 c=5.589 alpha=90.00 beta=90.00 gamma=90.00
Space group Pmmm (No. 47)
Unique sites:
1 Zr 0.000 0.000 0.000 [1 per cell]
2 Zr 0.500 0.500 0.500 [1 per cell]
3 Au 0.000 0.000 0.500 [1 per cell]
4 Se 0.500 0.500 0.000 [1 per cell]

Output
Crystal system: orthorhombic
E_form (uncorrected): -3.02 eV/f.u.
N(E_F): 0.662 states/eV per atom

---

15.
A relaxed CaPm2Ge crystal, computed with PBE.

Unit cell a=4.862 b=4.862 c=4.704 alpha=90.00 beta=90.00 gamma=90.00
Space group P4/mmm (No. 123)
Unique sites:
1 Ca 0.000 0.000 0.000 [1 per cell]
2 Pm 0.000 0.500 0.500 [2 per cell]
3 Ge 0.500 0.500 0.000 [1 per cell]

Output
Crystal system: tetragonal
Energy relative to the lowest polymorph listed for this composition: 20 meV/atom
ΔE_f: -0.2807 eV/atom
N(E_F): 0.829 states/eV per atom

---

16.
A relaxed Ce4Si2Hg crystal, computed with PBE.

Unit cell a=4.2764 b=4.2764 c=36.4103 alpha=90.00 beta=90.00 gamma=120.00
Space group R-3m (No. 166, hexagonal axes)
Unique sites:
1 Ce 0.0000 0.0000 0.1083 [6 per cell]
2 Ce 0.0000 0.0000 0.3119 [6 per cell]
3 Si 0.0000 0.0000 0.3984 [6 per cell]
4 Hg 0.0000 0.0000 0.5000 [3 per cell]

Output
Crystal system: trigonal
E_form (uncorrected): -2.10 eV/f.u.
N(E_F): 3.235 states/eV per atom

---

17.
A relaxed Zn6Ag6Hg crystal, computed with PBE.

Unit cell a=5.187 b=9.069 c=9.416 alpha=90.00 beta=90.00 gamma=90.00
Space group Immm (No. 71)
Unique sites:
1 Zn 0.000 0.000 0.241 [4 per cell]
2 Zn 0.250 0.250 0.250 [8 per cell]
3 Ag 0.000 0.159 0.500 [4 per cell]
4 Ag 0.000 0.179 0.000 [4 per cell]
5 Ag 0.000 0.500 0.149 [4 per cell]
6 Hg 0.000 0.500 0.500 [2 per cell]

Output
Crystal system: orthorhombic
ΔE_f: 0.0026 eV/atom
N(E_F): 0.202 states/eV per atom

---

18.
A relaxed Ca2ReSb crystal, computed with PBE.

Unit cell a=7.076 b=7.076 c=7.076 alpha=90.00 beta=90.00 gamma=90.00
Space group F-43m (No. 216)
Unique sites:
1 Ca 0.000 0.000 0.000 [4 per cell]
2 Ca 0.250 0.250 0.250 [4 per cell]
3 Re 0.250 0.250 0.750 [4 per cell]
4 Sb 0.000 0.000 0.500 [4 per cell]

Output
Crystal system: cubic
E_form (uncorrected): 1.18 eV/f.u.
N(E_F): 0.601 states/eV per atom

---

19.
A relaxed NaLa4Pr3Te8 crystal, computed with PBE.

Unit cell a=9.1491 b=9.1491 c=22.2121 alpha=90.00 beta=90.00 gamma=120.00
Space group R-3m (No. 166, hexagonal axes)
Unique sites:
1 Na 0.0000 0.0000 0.0000 [3 per cell]
2 La 0.0000 0.0000 0.5000 [3 per cell]
3 La 0.0000 0.5000 0.5000 [9 per cell]
4 Pr 0.0000 0.5000 0.0000 [9 per cell]
5 Te 0.0000 0.0000 0.2506 [6 per cell]
6 Te 0.0033 0.5016 0.7484 [18 per cell]

Output
Crystal system: trigonal
E_form (uncorrected): -23.88 eV/f.u.
N(E_F): 0.656 states/eV per atom

---

20.
A relaxed CrFeMo crystal, computed with PBE.

Unit cell a=3.029 b=12.523 c=4.111 alpha=90.00 beta=90.00 gamma=90.00
Space group Cmcm (No. 63)
Unique sites:
1 Cr 0.000 0.085 0.250 [4 per cell]
2 Fe 0.000 0.253 0.750 [4 per cell]
3 Mo 0.000 0.413 0.250 [4 per cell]

Output
Crystal system: orthorhombic
Energy relative to the lowest polymorph listed for this composition: 74 meV/atom
ΔE_f: 0.0805 eV/atom
N(E_F): 0.793 states/eV per atom